[1]
DFT (GGA-PBE) results for Be4SbP after structural relaxation.

POSCAR file:
```
Be4SbP
1.0
0.000 3.344 3.344
3.344 0.000 3.344
3.344 3.344 0.000
Be P Sb
4 1 1
Cartesian
2.514 2.514 2.514
2.514 4.175 4.175
4.175 2.514 4.175
4.175 4.175 2.514
5.017 5.017 5.017
0.000 0.000 0.000
```

As for the symmetry: F-43m. For the volume, the calculation gives 74.81 Å³ per cell. Its total moment is 0.0 μB/f.u. For the total energy, the calculation gives -3.5058 eV per atom. The value obtained for the formation energy (no corrections) is 0.57 eV per atom.

[2]
DFT (GGA-PBE) results for NaCoP2S8 after structural relaxation.

POSCAR file:
```
NaCoP2S8
1.0
-1.876 1.436 -5.108
-2.989 -3.529 3.207
-4.612 7.315 3.751
S P Co Na
8 2 1 1
Cartesian
-3.203 1.868 0.818
-2.609 0.355 -2.042
-6.274 3.355 1.032
-6.868 4.868 3.892
-5.811 0.107 1.046
-5.731 5.037 -1.581
-3.667 5.115 0.803
-3.747 0.186 3.431
-3.587 1.906 -1.247
-5.890 3.316 3.096
-2.306 3.658 1.875
0.000 0.000 0.000
```

As for the symmetry: P-3. For the volume, the calculation gives 258.52 Å³ per cell. Its total moment is 1.7 μB/f.u. For the total energy, the calculation gives -4.5359 eV per atom. The value obtained for the formation energy (no corrections) is -0.18 eV per atom.

[3]
DFT (GGA-PBE) results for Nd2HoEr5Tm after structural relaxation.

POSCAR file:
```
Nd2HoEr5Tm
1.0
8.546 0.000 0.000
0.000 8.546 0.000
-4.273 -4.273 7.837
Er Ho Nd Tm
10 2 4 2
Cartesian
-1.829 -2.445 5.624
2.445 1.829 2.213
0.000 0.000 0.000
6.718 2.445 2.213
2.445 -1.829 5.624
4.273 4.273 0.000
1.829 2.445 5.624
6.102 6.718 2.213
-2.445 1.829 5.624
1.829 6.102 2.213
4.273 4.273 3.919
0.000 0.000 3.919
1.009 3.265 0.000
5.282 1.009 0.000
7.538 5.282 0.000
3.265 7.538 0.000
0.000 4.273 3.919
4.273 0.000 3.919
```

As for the symmetry: I4/mcm. For the volume, the calculation gives 572.43 Å³ per cell. Its total moment is 0.0 μB/f.u. For the total energy, the calculation gives -4.3216 eV per atom.

[4]
DFT (GGA-PBE) results for K3Ag after structural relaxation.

POSCAR file:
```
K3Ag
1.0
4.290 0.028 0.000
-0.025 4.290 0.000
0.000 0.000 11.185
K Ag
3 1
Cartesian
2.132 2.159 9.255
2.132 2.159 1.930
0.000 0.000 5.593
0.000 0.000 0.000
```

As for the symmetry: P4/mmm. For the volume, the calculation gives 205.83 Å³ per cell. As for the polymorph energy (0 for the lowest one): 14 meV per atom. Its total moment is 0.0 μB/f.u. For the total energy, the calculation gives -1.4932 eV per atom.

[5]
DFT (GGA-PBE) results for La2SiP4 after structural relaxation.

POSCAR file:
```
La2SiP4
1.0
5.463 0.000 0.000
0.000 6.391 2.960
0.000 0.541 9.369
P Si La
8 2 4
Cartesian
2.891 5.269 9.167
0.159 1.662 3.163
1.366 5.409 3.197
5.304 5.269 9.167
2.572 1.662 3.163
1.366 2.287 6.812
4.097 1.523 9.132
4.097 4.644 5.518
4.097 0.393 1.905
1.366 6.538 10.425
1.366 2.583 9.752
1.366 5.263 6.417
4.097 1.669 5.912
4.097 4.349 2.578
```

As for the symmetry: P2_1/m. For the volume, the calculation gives 318.36 Å³ per cell. Its total moment is 0.0 μB/f.u. For the total energy, the calculation gives -6.1646 eV per atom. The value obtained for the formation energy (no corrections) is -0.89 eV per atom.

[6]
DFT (GGA-PBE) results for LiTi2TlC after structural relaxation.

POSCAR file:
```
LiTi2TlC
1.0
5.383 0.000 0.000
0.000 4.378 0.000
0.000 0.000 5.383
Ti C Li Tl
2 1 1 1
Cartesian
0.000 0.000 2.691
2.691 0.000 0.000
0.000 2.189 0.000
2.691 2.189 2.691
0.000 0.000 0.000
```

As for the symmetry: P4/mmm. For the volume, the calculation gives 126.87 Å³ per cell. Its total moment is 4.4 μB/f.u. For the total energy, the calculation gives -3.8718 eV per atom.